Record 1
KRbInGa2: optimized geometry, PBE.

Output
formation enthalpy at 0 K: 0.629 eV per atom

Geometry as extended XYZ:
```
5
Lattice="6.0560 0.0000 0.0000 0.0000 6.0560 0.0000 0.0000 0.0000 6.3427" Properties=species:S:1:pos:R:3 pbc="T T T"
K 0.0000 0.0000 0.0000
Rb 3.0280 3.0280 3.1714
In 0.0000 0.0000 3.1714
Ga 0.0000 3.0280 0.0000
Ga 3.0280 0.0000 0.0000
```

***

Record 2
LaInAgRh: optimized geometry, PBE.

Output
formation enthalpy at 0 K: -0.383 eV per atom

Geometry as extended XYZ:
```
4
Lattice="0.0000 3.5266 3.5266 3.5266 0.0000 3.5266 3.5266 3.5266 0.0000" Properties=species:S:1:pos:R:3 pbc="T T T"
La 0.0000 0.0000 0.0000
In 3.5266 3.5266 3.5266
Ag 5.2899 5.2899 5.2899
Rh 1.7633 1.7633 1.7633
```

***

Record 3
AlNiGe2Cl: optimized geometry, PBE.

Output
E_tot: -3.403 eV per atom

Geometry as extended XYZ:
```
5
Lattice="5.1382 0.0000 0.0000 0.0000 5.1382 0.0000 0.0000 0.0000 4.0379" Properties=species:S:1:pos:R:3 pbc="T T T"
Al 0.0000 0.0000 0.0000
Ni 2.5691 2.5691 0.0000
Ge 0.0000 2.5691 2.0189
Ge 2.5691 0.0000 2.0189
Cl 2.5691 2.5691 2.0189
```

***

The density of states at the Fermi level results, record by record, are as follows: 1.285, 0.782, 0.426 states/eV/atom.
The M_tot results, record by record, are as follows: 0.0, 0.0, 0.0 μB per formula unit.
The ρ results, record by record, are as follows: 2.70, 8.79, 4.15 g cm⁻³.